Ni4Pd2O9: relaxed, PBE with a Hubbard U.

a = 5.0894 Å, b = 5.0894 Å, c = 13.7833 Å
α = 90.00°, β = 90.00°, γ = 120.00°
Space group P-3c1 (No. 165)
Unique sites:
Ni 0.3333 0.6667 0.1824
Ni 0.3333 0.6667 0.4855
Pd 0.0000 0.0000 0.1498
O 0.0000 0.3013 0.2500
O 0.0260 0.3641 0.5826

Results
The value obtained for the total magnetization is 12.00 μB/cell. The raw total energy is -150.33 eV for the cell shown. The calculation puts the mass density at 6.35 g cm⁻³.